# 1
DFT (SCAN) results for a PBEsol-optimized structure of CuHg2W.

The value obtained for the energy above the most stable polymorph in this dataset is 0.0503 eV/atom. The formation energy comes out at 0.764 eV/atom. The calculation puts the density at 15.99 g cm⁻³.

Cell lengths 2.807, 4.296, 5.743 Å; angles 90.00, 103.39, 90.00 degrees
Fractional coordinates of all 4 atoms:
Cu 0.000 0.000 0.000
Hg 0.404 0.500 0.244
Hg 0.596 0.500 0.756
W 0.000 0.000 0.500

***

# 2
DFT (SCAN) results for a PBEsol-optimized structure of CaCrIr2.

The value obtained for the energy above the most stable polymorph in this dataset is 0.0000 eV/atom. The formation energy comes out at -0.259 eV/atom. The calculation puts the density at 12.56 g cm⁻³.

Cell lengths 2.895, 2.895, 7.518 Å; angles 90.00, 90.00, 90.00 degrees
Fractional coordinates of all 4 atoms:
Ca 0.000 0.000 0.000
Cr 0.000 0.000 0.500
Ir 0.500 0.500 0.300
Ir 0.500 0.500 0.700